(1)
Compound: Ca2BRhCl
Source: Alexandria via LeMat-Bulk
Functional: GGA-PBEsol
Structure: relaxed

It has space group P4/mmm (No. 123), with a = 5.4277 Å, b = 5.4277 Å, c = 3.8835 Å, α = 90.00°, β = 90.00° and γ = 90.00°. The inequivalent atoms are Ca at (0.0000, 0.5000, 0.0000), B at (0.0000, 0.0000, 0.5000), Rh at (0.0000, 0.0000, 0.0000) and Cl at (0.5000, 0.5000, 0.5000).

Its total energy is -0.1783 hartree per atom. The energy relative to the elements, uncorrected comes out at -0.565 eV/atom. The value obtained for the mass density is 3.3 Mg/m³.

***

(2)
Compound: CaBSCl2
Source: Alexandria via LeMat-Bulk
Functional: GGA-PBEsol
Structure: relaxed

It has space group P4/mmm (No. 123), with a = 4.5089 Å, b = 4.5089 Å, c = 4.2742 Å, α = 90.00°, β = 90.00° and γ = 90.00°. The inequivalent atoms are Ca at (0.0000, 0.0000, 0.0000), B at (0.5000, 0.5000, 0.5000), S at (0.5000, 0.5000, 0.0000) and Cl at (0.0000, 0.5000, 0.5000).

Its total energy is -0.1536 hartree per atom. The energy relative to the elements, uncorrected comes out at -0.671 eV/atom. The value obtained for the mass density is 2.9 Mg/m³.

***

(3)
Compound: CaSiBCl2
Source: Alexandria via LeMat-Bulk
Functional: GGA-PBEsol
Structure: relaxed

It has space group P4/mmm (No. 123), with a = 4.7166 Å, b = 4.7166 Å, c = 5.9003 Å, α = 90.00°, β = 90.00° and γ = 90.00°. The inequivalent atoms are Ca at (0.0000, 0.0000, 0.0000), Si at (0.0000, 0.0000, 0.5000), B at (0.5000, 0.5000, 0.0000) and Cl at (0.0000, 0.5000, 0.5000).

Its total energy is -0.1171 hartree per atom. The energy relative to the elements, uncorrected comes out at 0.595 eV/atom. The value obtained for the mass density is 1.9 Mg/m³.

***

(4)
Compound: CaInCoB2
Source: Alexandria via LeMat-Bulk
Functional: GGA-PBEsol
Structure: relaxed

It has space group P4/mmm (No. 123), with a = 4.4825 Å, b = 4.4825 Å, c = 5.5361 Å, α = 90.00°, β = 90.00° and γ = 90.00°. The inequivalent atoms are Ca at (0.0000, 0.0000, 0.0000), In at (0.0000, 0.0000, 0.5000), Co at (0.5000, 0.5000, 0.5000) and B at (0.0000, 0.5000, 0.0000).

Its total energy is -0.1028 hartree per atom. The calculation puts the formation energy from the elements at 249.01 kJ per mole of atoms. The value obtained for the mass density is 3.5 Mg/m³.

***

(5)
Compound: CaMgCo2B
Source: Alexandria via LeMat-Bulk
Functional: GGA-PBEsol
Structure: relaxed

It has space group P4/mmm (No. 123), with a = 4.3697 Å, b = 4.3697 Å, c = 5.2696 Å, α = 90.00°, β = 90.00° and γ = 90.00°. The inequivalent atoms are Ca at (0.0000, 0.0000, 0.0000), Mg at (0.0000, 0.0000, 0.5000), Co at (0.0000, 0.5000, 0.5000) and B at (0.5000, 0.5000, 0.0000).

Its total energy is -0.1204 hartree per atom. The calculation puts the formation energy from the elements at 192.22 kJ per mole of atoms. The value obtained for the mass density is 3.2 Mg/m³.

***

(6)
Compound: Ca2CoBP
Source: Alexandria via LeMat-Bulk
Functional: GGA-PBEsol
Structure: relaxed

It has space group P4/mmm (No. 123), with a = 5.2979 Å, b = 5.2979 Å, c = 3.9990 Å, α = 90.00°, β = 90.00° and γ = 90.00°. The inequivalent atoms are Ca at (0.0000, 0.5000, 0.0000), Co at (0.0000, 0.0000, 0.5000), B at (0.5000, 0.5000, 0.5000) and P at (0.0000, 0.0000, 0.0000).

Its total energy is -0.1678 hartree per atom. The calculation puts the formation energy from the elements at 38.25 kJ per mole of atoms. The value obtained for the mass density is 2.7 Mg/m³.